--- one ---
SrHIrPd2 after structural relaxation, computed with GGA-PBE.

CIF file:
```
data_SrHIrPd2
_symmetry_space_group_name_H-M 'P 4/m m m'
_symmetry_Int_Tables_number 123
_symmetry_space_group_name_Hall '-P 4 2'
_cell_length_a 4.8058
_cell_length_b 4.8058
_cell_length_c 5.9455
_cell_angle_alpha 90.00
_cell_angle_beta 90.00
_cell_angle_gamma 90.00
loop_
_atom_site_label
_atom_site_type_symbol
_atom_site_fract_x
_atom_site_fract_y
_atom_site_fract_z
Sr1 Sr 0.0000 0.0000 0.0000
H1 H 0.5000 0.5000 0.0000
Ir1 Ir 0.0000 0.0000 0.5000
Pd1 Pd 0.0000 0.5000 0.5000
```

- N(E_F): 1.22 states/eV per atom
- V: 27.46 Å³/atom
- Spin magnetization: 0.000 μB/f.u.


--- two ---
SrHIrPd2 after structural relaxation, computed with GGA-PBE.

CIF file:
```
data_SrHIrPd2
_symmetry_space_group_name_H-M 'P 4/m m m'
_symmetry_Int_Tables_number 123
_symmetry_space_group_name_Hall '-P 4 2'
_cell_length_a 5.3433
_cell_length_b 5.3433
_cell_length_c 5.2748
_cell_angle_alpha 90.00
_cell_angle_beta 90.00
_cell_angle_gamma 90.00
loop_
_atom_site_label
_atom_site_type_symbol
_atom_site_fract_x
_atom_site_fract_y
_atom_site_fract_z
Sr1 Sr 0.0000 0.0000 0.0000
H1 H 0.5000 0.5000 0.5000
Ir1 Ir 0.0000 0.0000 0.5000
Pd1 Pd 0.0000 0.5000 0.0000
```

- N(E_F): 0.37 states/eV per atom
- V: 30.12 Å³/atom
- Spin magnetization: 1.877 μB/f.u.


What should be chosen as the least stable of them? Choose two.


--- one ---
ZnHIrPd2 after structural relaxation, computed with GGA-PBE.

CIF file:
```
data_ZnHIrPd2
_symmetry_space_group_name_H-M 'P 4/m m m'
_symmetry_Int_Tables_number 123
_symmetry_space_group_name_Hall '-P 4 2'
_cell_length_a 3.9920
_cell_length_b 3.9920
_cell_length_c 3.8902
_cell_angle_alpha 90.00
_cell_angle_beta 90.00
_cell_angle_gamma 90.00
loop_
_atom_site_label
_atom_site_type_symbol
_atom_site_fract_x
_atom_site_fract_y
_atom_site_fract_z
Zn1 Zn 0.0000 0.0000 0.0000
H1 H 0.5000 0.5000 0.5000
Ir1 Ir 0.5000 0.5000 0.0000
Pd1 Pd 0.0000 0.5000 0.5000
```

- N(E_F): 0.77 states/eV per atom
- V: 12.40 Å³/atom
- Spin magnetization: 0.000 μB/f.u.


--- two ---
ZnHIrPd2 after structural relaxation, computed with GGA-PBE.

CIF file:
```
data_ZnHIrPd2
_symmetry_space_group_name_H-M 'P 4/m m m'
_symmetry_Int_Tables_number 123
_symmetry_space_group_name_Hall '-P 4 2'
_cell_length_a 3.8441
_cell_length_b 3.8441
_cell_length_c 4.1797
_cell_angle_alpha 90.00
_cell_angle_beta 90.00
_cell_angle_gamma 90.00
loop_
_atom_site_label
_atom_site_type_symbol
_atom_site_fract_x
_atom_site_fract_y
_atom_site_fract_z
Zn1 Zn 0.0000 0.0000 0.0000
H1 H 0.0000 0.0000 0.5000
Ir1 Ir 0.5000 0.5000 0.0000
Pd1 Pd 0.0000 0.5000 0.5000
```

- N(E_F): 0.75 states/eV per atom
- V: 12.35 Å³/atom
- Spin magnetization: 0.000 μB/f.u.


What should be chosen as the least stable of them? Choose two.